A plane-wave DFT calculation with PBE-GGA was carried out for a relaxed TlSn4S8 crystal.

The structure belongs to space group C2/m (No. 12); the cell edges are 12.9684, 7.4728 and 10.1713 Å and the angles 90.00°, 128.89° and 90.00°. The inequivalent atoms are Tl at (0.0000, 0.0000, 0.0000), Sn at (0.0000, 0.2533, 0.5000), Sn at (0.2457, 0.5000, 0.4936), S at (0.0054, 0.0000, 0.6843), S at (0.0101, 0.5000, 0.6906) and S at (0.2394, 0.2474, 0.3113).

As for the total moment: 0.000 μB per atom. The uncorrected energy is -0.3192 Ry per atom. The value obtained for the distance to the lowest polymorph of the same formula is 0 meV per atom. As for the crystal system: monoclinic. The formation energy without anion corrections is -8.986 kcal/mol of atoms.